Computed, not measured: an optimized crystal structure of Mn2NbNiF at the PBE+U level of DFT.

Calculated values
Its raw total energy is -5.214 eV per atom. The calculation puts the density of states at the Fermi level at 4.02 states/eV/cell.

abc: 5.2770 5.2770 4.0619
angles: 90.00 90.00 90.00
Space group P4/mmm (No. 123)
Symmetry-distinct sites (fractional):
Mn: 0.0000 0.5000 0.0000 x2
Nb: 0.0000 0.0000 0.0000 x1
Ni: 0.5000 0.5000 0.5000 x1
F: 0.0000 0.0000 0.5000 x1